An optimized crystal structure of TaNiRh2, computed with PBE.

Unit cell a=3.241 b=3.241 c=5.558 alpha=90.00 beta=90.00 gamma=90.00
Sites, in units of the cell vectors:
Ta (0.000, 0.000, 0.000)
Ni (0.500, 0.500, 0.238)
Rh (0.000, 0.000, 0.455)
Rh (0.500, 0.500, 0.751)

Output
The calculation puts the formation energy at -255.1 meV per atom. As for the space group: P4mm, No. 99.

---

An optimized crystal structure of Rb2HfRuF6, computed with PBE.

Unit cell a=7.211 b=7.211 c=7.211 alpha=131.92 beta=131.92 gamma=70.36
Sites, in units of the cell vectors:
Rb (0.250, 0.750, 0.500)
Rb (0.750, 0.250, 0.500)
Hf (0.000, 0.000, 0.000)
Ru (0.500, 0.500, 0.000)
F (0.172, 0.172, 0.000)
F (0.241, 0.241, 0.482)
F (0.241, 0.759, 0.000)
F (0.759, 0.241, 0.000)
F (0.759, 0.759, 0.518)
F (0.828, 0.828, 0.000)

Output
The value obtained for the uncorrected formation energy is -56.160 kcal/mol of atoms. As for the space group: I4/mmm, No. 139.

---

An optimized crystal structure of Mg2PIr, computed with PBE.

Unit cell a=5.758 b=5.758 c=5.758 alpha=101.45 beta=101.45 gamma=127.08
Sites, in units of the cell vectors:
Mg (0.104, 0.125, 0.479)
Mg (0.375, 0.896, 0.021)
Mg (0.646, 0.625, 0.521)
Mg (0.875, 0.354, 0.979)
P (0.000, 0.000, 0.000)
P (0.750, 0.250, 0.500)
Ir (0.250, 0.750, 0.500)
Ir (0.500, 0.500, 0.000)

Output
The calculation puts the formation energy at 86.0 meV per atom. As for the space group: I-42d, No. 122.

---

An optimized crystal structure of BaTc3O6, computed with PBE.

Unit cell a=5.779 b=5.779 c=5.779 alpha=57.17 beta=57.17 gamma=57.17
Sites, in units of the cell vectors:
Ba (0.000, 0.000, 0.000)
Tc (0.232, 0.232, 0.232)
Tc (0.549, 0.549, 0.549)
Tc (0.747, 0.747, 0.747)
O (0.116, 0.505, 0.854)
O (0.443, 0.957, 0.528)
O (0.505, 0.854, 0.116)
O (0.528, 0.443, 0.957)
O (0.854, 0.116, 0.505)
O (0.957, 0.528, 0.443)

Output
The value obtained for the uncorrected formation energy is -31.700 kcal/mol of atoms. As for the space group: R3, No. 146.